A relaxed structure of Ac3Mn2AgO9, computed with GGA+U.

Calculated total energy (eV/atom): -7.22

Lattice parameters (Å, degrees): 5.6767 5.6767 7.1525 90.00 90.00 120.00
Closest atoms and distances in Å follow each position.
Element x y z (fractional)
Ac1 0.0000 0.0000 0.0000  12 O 2.80-2.84
Ac2 0.3333 0.6667 0.6757  12 O 2.84-3.05
Ac3 0.6667 0.3333 0.3243  12 O 2.84-3.05
Mn1 0.3333 0.6667 0.1606  6 O 1.88-2.00
Mn2 0.6667 0.3333 0.8394  6 O 1.88-2.00
Ag1 0.0000 0.0000 0.5000  6 O 2.20
O1 0.0000 0.5000 0.0000  2 Mn 2.00
O2 0.1757 0.3513 0.3089  1 Mn 1.88
O3 0.1757 0.8243 0.3089  1 Mn 1.88
O4 0.3513 0.1757 0.6911  1 Mn 1.88
O5 0.5000 0.0000 0.0000  2 Mn 2.00
O6 0.5000 0.5000 0.0000  2 Mn 2.00
O7 0.6487 0.8243 0.3089  1 Mn 1.88
O8 0.8243 0.1757 0.6911  1 Mn 1.88
O9 0.8243 0.6487 0.6911  1 Mn 1.88